Entry from Alexandria: crystalline CsAg5F8 at its relaxed geometry (PBE-GGA).

Structure (CIF):
```
data_CsAg5F8
_chemical_formula_sum 'Cs2 Ag10 F16'
_space_group_name_H-M_alt 'C 1 2/m 1'
_space_group_IT_number 12
_cell_length_a 17.084
_cell_length_b 3.695
_cell_length_c 8.116
_cell_angle_alpha 90.00
_cell_angle_beta 106.13
_cell_angle_gamma 90.00
loop_
_space_group_symop_operation_xyz
'x,y,z'
'-x,-y,-z'
'-x,y,-z'
'x,-y,z'
'x+1/2,y+1/2,z'
'-x+1/2,-y+1/2,-z'
'-x+1/2,y+1/2,-z'
'x+1/2,-y+1/2,z'
loop_
_atom_site_label
_atom_site_fract_x
_atom_site_fract_y
_atom_site_fract_z
_atom_site_occupancy
Cs1 0.000 0.000 0.000 1
Ag1 0.000 0.500 0.500 1
Ag2 0.158 0.000 0.432 1
Ag3 0.199 0.000 0.826 1
F1 0.073 0.000 0.669 1
F2 0.075 0.500 0.309 1
F3 0.176 0.500 0.006 1
F4 0.216 0.500 0.638 1
```

Results
The total energy comes out at -3.4424 eV per atom. The total magnetization comes out at 4.2 Bohr magnetons per cell.